Here is a geometry-optimized Na2CrMoF8 structure from the Alexandria database. Energies are from PBE+U.

The structure in extended XYZ format:
```
12
Lattice="5.121 -0.101 -0.003 -0.093 5.098 -0.006 0.003 0.007 6.528" Properties=species:S:1:pos:R:3 pbc="T T T"
Na 2.516 2.504 4.842
Na 2.515 2.501 1.678
Cr 0.002 0.004 3.264
Mo 0.000 0.000 0.000
F 0.802 4.188 1.723
F 3.559 3.555 -0.006
F 4.227 0.814 1.725
F 4.229 0.817 4.797
F 1.472 1.450 6.526
F 0.804 4.191 4.795
F 3.667 3.664 3.258
F 1.364 1.341 3.262
```

Output
Uncorrected energy: -0.3966 Ry per atom
Density of states at the Fermi level: 0.000 states/eV/atom
Mass density: 3.37 g/cm3